[1]
DFT (PBE) results for a relaxed K2MgCl crystal.

abc: 4.217 4.217 10.511
angles: 78.68 78.68 59.79
Sites, in units of the cell vectors:
Cl1 0.250 0.250 0.250
K1 0.980 0.980 0.057
K2 0.520 0.520 0.443
Mg1 0.750 0.750 0.750

Calculated values
volume	157.3	Å³ per cell
electronic total energy	-8.7	eV per cell
N(E_F)	1.583	states/eV/f.u.

---

[2]
DFT (PBE) results for a relaxed KMgCl2 crystal.

abc: 8.241 8.241 8.241
angles: 150.88 150.88 41.66
Sites, in units of the cell vectors:
Cl1 0.000 0.000 0.000
Cl2 0.250 0.750 0.500
K1 0.500 0.500 0.000
Mg1 0.750 0.250 0.500

Calculated values
volume	132.3	Å³ per cell
electronic total energy	-11.1	eV per cell
N(E_F)	1.408	states/eV/f.u.

---

[3]
DFT (PBE) results for a relaxed K2MgCl crystal.

abc: 7.921 7.921 7.921
angles: 144.32 144.32 51.35
Sites, in units of the cell vectors:
Cl1 0.750 0.250 0.500
K1 0.000 0.000 0.000
K2 0.250 0.750 0.500
Mg1 0.500 0.500 0.000

Calculated values
volume	168.2	Å³ per cell
electronic total energy	-7.8	eV per cell
N(E_F)	2.102	states/eV/f.u.

---

[4]
DFT (PBE) results for a relaxed K2MgCl crystal.

abc: 4.015 3.937 10.024
angles: 90.04 90.00 90.00
Sites, in units of the cell vectors:
Cl1 0.500 0.624 0.970
K1 0.000 0.124 0.826
K2 0.500 0.126 0.217
Mg1 0.000 0.626 0.486

Calculated values
volume	158.4	Å³ per cell
electronic total energy	-8.6	eV per cell
N(E_F)	1.230	states/eV/f.u.

---

[5]
DFT (PBE) results for a relaxed KMgCl crystal.

abc: 5.609 5.609 5.609
angles: 60.00 60.00 60.00
Sites, in units of the cell vectors:
Cl1 0.500 0.500 0.500
K1 0.750 0.750 0.750
Mg1 0.000 0.000 0.000

Calculated values
volume	124.8	Å³ per cell
electronic total energy	-6.3	eV per cell
N(E_F)	0.000	states/eV/f.u.

---

[6]
DFT (PBE) results for a relaxed KMgMnCl6 crystal.

abc: 6.423 6.423 13.990
angles: 90.00 90.00 120.00
Sites, in units of the cell vectors:
K1 0.000 0.000 0.000
K2 0.000 0.000 0.500
Mg1 0.333 0.667 0.250
Mg2 0.667 0.333 0.750
Mn1 0.667 0.333 0.250
Mn2 0.333 0.667 0.750
Cl1 0.633 0.620 0.150
Cl2 0.987 0.367 0.150
Cl3 0.367 0.987 0.650
Cl4 0.013 0.633 0.850
Cl5 0.380 0.367 0.350
Cl6 0.987 0.620 0.350
Cl7 0.620 0.987 0.850
Cl8 0.633 0.013 0.350
Cl9 0.013 0.380 0.650
Cl10 0.380 0.013 0.150
Cl11 0.620 0.633 0.650
Cl12 0.367 0.380 0.850

Calculated values
volume	499.8	Å³ per cell
electronic total energy	-72.6	eV per cell
N(E_F)	6.224	states/eV/f.u.

---

[7]
DFT (PBE) results for a relaxed KMgMnCl5 crystal.

abc: 7.291 7.291 9.328
angles: 102.90 102.90 107.05
Sites, in units of the cell vectors:
K1 0.336 0.664 0.250
K2 0.664 0.336 0.750
Mg1 0.000 0.000 0.500
Mg2 0.000 0.000 0.000
Mn1 0.686 0.314 0.250
Mn2 0.314 0.686 0.750
Cl1 0.067 0.933 0.250
Cl2 0.933 0.067 0.750
Cl3 0.907 0.307 0.101
Cl4 0.093 0.693 0.899
Cl5 0.693 0.093 0.399
Cl6 0.307 0.907 0.601
Cl7 0.755 0.628 0.433
Cl8 0.245 0.372 0.567
Cl9 0.372 0.245 0.067
Cl10 0.628 0.755 0.933

Calculated values
volume	439.3	Å³ per cell
electronic total energy	-67.7	eV per cell
N(E_F)	0.000	states/eV/f.u.

---

[8]
DFT (PBE) results for a relaxed KMgMoCl6 crystal.

abc: 6.496 6.496 14.075
angles: 90.00 90.00 120.00
Sites, in units of the cell vectors:
K1 0.000 0.000 0.000
K2 0.000 0.000 0.500
Mg1 0.333 0.667 0.250
Mg2 0.667 0.333 0.750
Mo1 0.667 0.333 0.250
Mo2 0.333 0.667 0.750
Cl1 0.635 0.628 0.150
Cl2 0.993 0.365 0.150
Cl3 0.365 0.993 0.650
Cl4 0.007 0.635 0.850
Cl5 0.372 0.365 0.350
Cl6 0.993 0.628 0.350
Cl7 0.628 0.993 0.850
Cl8 0.635 0.007 0.350
Cl9 0.007 0.372 0.650
Cl10 0.372 0.007 0.150
Cl11 0.628 0.635 0.650
Cl12 0.365 0.372 0.850

Calculated values
volume	514.4	Å³ per cell
electronic total energy	-75.3	eV per cell

---

[9]
DFT (PBE) results for a relaxed K2NaMg2Cl7 crystal.

abc: 4.993 4.993 13.226
angles: 79.12 79.12 90.00
Sites, in units of the cell vectors:
K1 0.819 0.819 0.363
K2 0.181 0.181 0.637
Na1 0.000 0.000 0.000
Mg1 0.599 0.599 0.803
Mg2 0.401 0.401 0.197
Cl1 0.500 0.500 0.000
Cl2 0.305 0.305 0.391
Cl3 0.695 0.695 0.609
Cl4 0.906 0.406 0.188
Cl5 0.406 0.906 0.188
Cl6 0.594 0.094 0.812
Cl7 0.094 0.594 0.812

Calculated values
volume	317.8	Å³ per cell
electronic total energy	-41.7	eV per cell
N(E_F)	0.000	states/eV/f.u.

---

[10]
DFT (PBE) results for a relaxed KNaMg2Cl6 crystal.

abc: 7.025 9.354 9.354
angles: 88.97 83.02 83.02
Sites, in units of the cell vectors:
K1 0.250 0.902 0.098
K2 0.750 0.098 0.902
Na1 0.250 0.275 0.725
Na2 0.750 0.725 0.275
Mg1 0.225 0.783 0.613
Mg2 0.275 0.387 0.217
Mg3 0.775 0.217 0.387
Mg4 0.725 0.613 0.783
Cl1 0.168 0.975 0.776
Cl2 0.332 0.224 0.025
Cl3 0.832 0.025 0.224
Cl4 0.668 0.776 0.975
Cl5 0.393 0.840 0.396
Cl6 0.107 0.604 0.160
Cl7 0.607 0.160 0.604
Cl8 0.893 0.396 0.840
Cl9 0.913 0.712 0.579
Cl10 0.587 0.421 0.288
Cl11 0.087 0.288 0.421
Cl12 0.413 0.579 0.712

Calculated values
volume	605.6	Å³ per cell
electronic total energy	-70.0	eV per cell
N(E_F)	0.000	states/eV/f.u.

---

[11]
DFT (PBE) results for a relaxed K2NaMgCl5 crystal.

abc: 3.988 8.831 14.612
angles: 90.00 90.00 103.05
Sites, in units of the cell vectors:
K1 0.856 0.712 0.791
K2 0.081 0.162 0.656
K3 0.144 0.288 0.291
K4 0.919 0.838 0.156
Na1 0.545 0.089 0.949
Na2 0.455 0.911 0.449
Mg1 0.773 0.547 0.528
Mg2 0.227 0.453 0.028
Cl1 0.369 0.739 0.996
Cl2 0.707 0.413 0.916
Cl3 0.495 0.990 0.779
Cl4 0.259 0.519 0.648
Cl5 0.916 0.832 0.561
Cl6 0.631 0.261 0.496
Cl7 0.293 0.587 0.416
Cl8 0.505 0.010 0.279
Cl9 0.741 0.481 0.148
Cl10 0.084 0.168 0.061

Calculated values
volume	501.3	Å³ per cell
electronic total energy	-62.2	eV per cell
N(E_F)	0.000	states/eV/f.u.

---

[12]
DFT (PBE) results for a relaxed KNdMg2Cl8 crystal.

abc: 6.524 6.515 8.962
angles: 80.52 80.04 80.20
Sites, in units of the cell vectors:
K1 0.000 0.000 0.500
Nd1 0.000 0.000 0.000
Mg1 0.456 0.460 0.708
Mg2 0.544 0.540 0.292
Cl1 0.217 0.767 0.226
Cl2 0.733 0.708 0.051
Cl3 0.745 0.197 0.232
Cl4 0.783 0.233 0.774
Cl5 0.267 0.292 0.949
Cl6 0.255 0.803 0.768
Cl7 0.680 0.658 0.491
Cl8 0.320 0.342 0.509

Calculated values
volume	366.1	Å³ per cell
electronic total energy	-47.4	eV per cell
N(E_F)	0.000	states/eV/f.u.